Record 1
LaSm2ErTm5 PBE-GGA optimized geometry; energy of formation = 2.4 eV/f.u.; magnetization = 0.000 μB/f.u.
1.0
-4.374 4.374 7.572
4.374 -4.374 7.572
4.374 4.374 -7.572
La Sm Er Tm
2 4 2 10
Direct
0.250 0.250 0.000
0.750 0.750 0.000
0.116 0.616 0.731
0.384 0.116 0.500
0.616 0.884 0.500
0.884 0.384 0.269
0.250 0.750 0.500
0.750 0.250 0.500
0.000 0.000 0.000
0.073 0.157 0.500
0.157 0.657 0.084
0.343 0.427 0.500
0.427 0.927 0.084
0.500 0.500 0.000
0.573 0.073 0.916
0.657 0.573 0.500
0.843 0.343 0.916
0.927 0.843 0.500

Record 2
LaSm6Er2Tm PBE-GGA optimized geometry; energy of formation = 1.2 eV/f.u.; magnetization = 0.000 μB/f.u.
1.0
4.664 -7.554 0.000
4.664 7.554 0.000
-0.980 0.000 9.516
La Sm Er Tm
2 12 4 2
Direct
0.033 0.967 0.750
0.967 0.033 0.250
0.007 0.556 0.683
0.118 0.758 0.056
0.242 0.882 0.444
0.294 0.517 0.884
0.444 0.993 0.817
0.483 0.706 0.616
0.517 0.294 0.384
0.556 0.007 0.183
0.706 0.483 0.116
0.758 0.118 0.556
0.882 0.242 0.944
0.993 0.444 0.317
0.204 0.304 0.551
0.304 0.204 0.051
0.696 0.796 0.949
0.796 0.696 0.449
0.411 0.589 0.250
0.589 0.411 0.750

Record 3
La2Sm2ErTm PBE-GGA optimized geometry; energy of formation = 0.4 eV/f.u.; magnetization = 0.000 μB/f.u.
1.0
7.090 0.000 0.000
0.000 5.710 0.000
0.000 0.000 9.921
La Sm Er Tm
4 4 2 2
Direct
0.000 0.000 0.000
0.250 0.500 0.178
0.500 0.000 0.000
0.750 0.500 0.822
0.250 0.000 0.333
0.250 0.500 0.834
0.750 0.000 0.667
0.750 0.500 0.166
0.000 0.500 0.500
0.500 0.500 0.500
0.250 0.000 0.656
0.750 0.000 0.344